Record 1
This record from Alexandria describes crystalline K3Sm2MnSe6 at its relaxed geometry. The functional is GGA-PBE.

```
data_K3Sm2MnSe6
_cell_length_a 7.2579
_cell_length_b 7.2579
_cell_length_c 8.0430
_cell_angle_alpha 98.45
_cell_angle_beta 98.45
_cell_angle_gamma 120.60
_symmetry_space_group_name_H-M 'P 1'
_symmetry_Int_Tables_number 1
loop_
_symmetry_equiv_pos_as_xyz
'x,y,z'
loop_
_atom_site_label
_atom_site_type_symbol
_atom_site_fract_x
_atom_site_fract_y
_atom_site_fract_z
_atom_site_occupancy
K1 K 0.0000 0.0000 0.0000 1
K2 K 0.3305 0.6695 0.0000 1
K3 K 0.6695 0.3305 0.0000 1
Sm1 Sm 0.1681 0.8319 0.5000 1
Sm2 Sm 0.8319 0.1681 0.5000 1
Mn1 Mn 0.5000 0.5000 0.5000 1
Se1 Se 0.1175 0.4306 0.2960 1
Se2 Se 0.2655 0.2655 0.6928 1
Se3 Se 0.4306 0.1175 0.2960 1
Se4 Se 0.5694 0.8825 0.7040 1
Se5 Se 0.7345 0.7345 0.3072 1
Se6 Se 0.8825 0.5694 0.7040 1
```

Values from the calculation:
* formation energy from raw total energies: -1.363 eV/atom
* space group: C2/m (12)


Record 2
This record from Alexandria describes crystalline Na2Bi2Au3 at its relaxed geometry. The functional is GGA-PBE.

```
data_Na2Bi2Au3
_cell_length_a 6.4830
_cell_length_b 6.4830
_cell_length_c 7.6591
_cell_angle_alpha 118.76
_cell_angle_beta 118.76
_cell_angle_gamma 42.08
_symmetry_space_group_name_H-M 'P 1'
_symmetry_Int_Tables_number 1
loop_
_symmetry_equiv_pos_as_xyz
'x,y,z'
loop_
_atom_site_label
_atom_site_type_symbol
_atom_site_fract_x
_atom_site_fract_y
_atom_site_fract_z
_atom_site_occupancy
Na1 Na 0.1354 0.1354 0.2491 1
Na2 Na 0.8646 0.8646 0.7509 1
Bi1 Bi 0.1460 0.1460 0.7469 1
Bi2 Bi 0.8540 0.8540 0.2531 1
Au1 Au 0.4191 0.4191 0.0745 1
Au2 Au 0.5000 0.5000 0.5000 1
Au3 Au 0.5809 0.5809 0.9255 1
```

Values from the calculation:
* DFT total energy: -3.119 eV/atom
* space group: C2/m (12)


Record 3
This record from Alexandria describes crystalline SrCa8Mg2 at its relaxed geometry. The functional is GGA-PBE.

```
data_SrCa8Mg2
_cell_length_a 9.1382
_cell_length_b 9.1382
_cell_length_c 6.3364
_cell_angle_alpha 100.01
_cell_angle_beta 100.01
_cell_angle_gamma 113.76
_symmetry_space_group_name_H-M 'P 1'
_symmetry_Int_Tables_number 1
loop_
_symmetry_equiv_pos_as_xyz
'x,y,z'
loop_
_atom_site_label
_atom_site_type_symbol
_atom_site_fract_x
_atom_site_fract_y
_atom_site_fract_z
_atom_site_occupancy
Sr1 Sr 0.0000 0.0000 0.0000 1
Ca1 Ca 0.0761 0.3260 0.5940 1
Ca2 Ca 0.2493 0.7507 0.0000 1
Ca3 Ca 0.3260 0.0761 0.5940 1
Ca4 Ca 0.4040 0.4040 0.1987 1
Ca5 Ca 0.5960 0.5960 0.8013 1
Ca6 Ca 0.6740 0.9239 0.4060 1
Ca7 Ca 0.7507 0.2493 0.0000 1
Ca8 Ca 0.9239 0.6740 0.4060 1
Mg1 Mg 0.3123 0.6877 0.5000 1
Mg2 Mg 0.6877 0.3123 0.5000 1
```

Values from the calculation:
* DFT total energy: -1.827 eV/atom
* space group: C2/m (12)


Record 4
This record from Alexandria describes crystalline TcRh at its relaxed geometry. The functional is GGA-PBE.

```
data_TcRh
_cell_length_a 2.7161
_cell_length_b 2.7161
_cell_length_c 7.8038
_cell_angle_alpha 90.00
_cell_angle_beta 90.00
_cell_angle_gamma 90.00
_symmetry_space_group_name_H-M 'P 1'
_symmetry_Int_Tables_number 1
loop_
_symmetry_equiv_pos_as_xyz
'x,y,z'
loop_
_atom_site_label
_atom_site_type_symbol
_atom_site_fract_x
_atom_site_fract_y
_atom_site_fract_z
_atom_site_occupancy
Tc1 Tc 0.2500 0.2500 0.1317 1
Tc2 Tc 0.7500 0.7500 0.8683 1
Rh1 Rh 0.2500 0.2500 0.6330 1
Rh2 Rh 0.7500 0.7500 0.3670 1
```

Values from the calculation:
* DFT total energy: -8.920 eV/atom
* space group: P4/nmm (129)


Record 5
This record from Alexandria describes crystalline Pm2BeSiNi6 at its relaxed geometry. The functional is GGA-PBE.

```
data_Pm2BeSiNi6
_cell_length_a 5.8292
_cell_length_b 5.8292
_cell_length_c 6.1529
_cell_angle_alpha 118.24
_cell_angle_beta 118.24
_cell_angle_gamma 60.10
_symmetry_space_group_name_H-M 'P 1'
_symmetry_Int_Tables_number 1
loop_
_symmetry_equiv_pos_as_xyz
'x,y,z'
loop_
_atom_site_label
_atom_site_type_symbol
_atom_site_fract_x
_atom_site_fract_y
_atom_site_fract_z
_atom_site_occupancy
Pm1 Pm 0.2147 0.2147 0.1440 1
Pm2 Pm 0.7853 0.7853 0.8560 1
Be1 Be 0.0000 0.0000 0.5000 1
Si1 Si 0.5000 0.5000 0.0000 1
Ni1 Ni 0.2432 0.2432 0.6523 1
Ni2 Ni 0.2430 0.6660 0.6523 1
Ni3 Ni 0.3340 0.7570 0.3477 1
Ni4 Ni 0.6660 0.2430 0.6523 1
Ni5 Ni 0.7570 0.3340 0.3477 1
Ni6 Ni 0.7568 0.7568 0.3477 1
```

Values from the calculation:
* formation energy from raw total energies: -0.369 eV/atom
* space group: C2/m (12)


Record 6
This record from Alexandria describes crystalline Ac4Ga5Os2 at its relaxed geometry. The functional is GGA-PBE.

```
data_Ac4Ga5Os2
_cell_length_a 7.2643
_cell_length_b 4.5915
_cell_length_c 9.0203
_cell_angle_alpha 90.00
_cell_angle_beta 96.48
_cell_angle_gamma 90.00
_symmetry_space_group_name_H-M 'P 1'
_symmetry_Int_Tables_number 1
loop_
_symmetry_equiv_pos_as_xyz
'x,y,z'
loop_
_atom_site_label
_atom_site_type_symbol
_atom_site_fract_x
_atom_site_fract_y
_atom_site_fract_z
_atom_site_occupancy
Ac1 Ac 0.2157 0.0000 0.1574 1
Ac2 Ac 0.2516 0.0000 0.6268 1
Ac3 Ac 0.7484 0.0000 0.3732 1
Ac4 Ac 0.7843 0.0000 0.8426 1
Ga1 Ga 0.1314 0.5000 0.8827 1
Ga2 Ga 0.3939 0.5000 0.3782 1
Ga3 Ga 0.5000 0.5000 0.0000 1
Ga4 Ga 0.6061 0.5000 0.6218 1
Ga5 Ga 0.8686 0.5000 0.1173 1
Os1 Os 0.0455 0.5000 0.3755 1
Os2 Os 0.9545 0.5000 0.6245 1
```

Values from the calculation:
* DFT total energy: -5.233 eV/atom
* space group: P2/m (10)


Record 7
This record from Alexandria describes crystalline CsSnAsSe2 at its relaxed geometry. The functional is GGA-PBE.

```
data_CsSnAsSe2
_cell_length_a 5.6668
_cell_length_b 5.6668
_cell_length_c 5.8177
_cell_angle_alpha 90.00
_cell_angle_beta 90.00
_cell_angle_gamma 90.00
_symmetry_space_group_name_H-M 'P 1'
_symmetry_Int_Tables_number 1
loop_
_symmetry_equiv_pos_as_xyz
'x,y,z'
loop_
_atom_site_label
_atom_site_type_symbol
_atom_site_fract_x
_atom_site_fract_y
_atom_site_fract_z
_atom_site_occupancy
Cs1 Cs 0.0000 0.0000 0.0000 1
Sn1 Sn 0.5000 0.5000 0.5000 1
As1 As 0.0000 0.0000 0.5000 1
Se1 Se 0.0000 0.5000 0.0000 1
Se2 Se 0.5000 0.0000 0.0000 1
```

Values from the calculation:
* formation energy from raw total energies: 1.137 eV/atom
* space group: P4/mmm (123)


Record 8
This record from Alexandria describes crystalline LaY2Fe at its relaxed geometry. The functional is GGA-PBE.

```
data_LaY2Fe
_cell_length_a 5.1879
_cell_length_b 5.1879
_cell_length_c 5.1879
_cell_angle_alpha 60.00
_cell_angle_beta 60.00
_cell_angle_gamma 60.00
_symmetry_space_group_name_H-M 'P 1'
_symmetry_Int_Tables_number 1
loop_
_symmetry_equiv_pos_as_xyz
'x,y,z'
loop_
_atom_site_label
_atom_site_type_symbol
_atom_site_fract_x
_atom_site_fract_y
_atom_site_fract_z
_atom_site_occupancy
La1 La 0.0000 0.0000 0.0000 1
Y1 Y 0.2500 0.2500 0.2500 1
Y2 Y 0.7500 0.7500 0.7500 1
Fe1 Fe 0.5000 0.5000 0.5000 1
```

Values from the calculation:
* DFT total energy: -6.100 eV/atom
* space group: Fm-3m (225)


Record 9
This record from Alexandria describes crystalline CaLaPr4 at its relaxed geometry. The functional is GGA-PBE.

```
data_CaLaPr4
_cell_length_a 9.9587
_cell_length_b 9.9587
_cell_length_c 3.6346
_cell_angle_alpha 100.44
_cell_angle_beta 100.44
_cell_angle_gamma 39.60
_symmetry_space_group_name_H-M 'P 1'
_symmetry_Int_Tables_number 1
loop_
_symmetry_equiv_pos_as_xyz
'x,y,z'
loop_
_atom_site_label
_atom_site_type_symbol
_atom_site_fract_x
_atom_site_fract_y
_atom_site_fract_z
_atom_site_occupancy
Ca1 Ca 0.0000 0.0000 0.0000 1
La1 La 0.8161 0.8161 0.3162 1
Pr1 Pr 0.3242 0.3242 0.8244 1
Pr2 Pr 0.4187 0.9005 0.6608 1
Pr3 Pr 0.4859 0.4859 0.4845 1
Pr4 Pr 0.9005 0.4187 0.6608 1
```

Values from the calculation:
* DFT total energy: -4.178 eV/atom
* space group: Cm (8)


Record 10
This record from Alexandria describes crystalline Pr5HoCu6 at its relaxed geometry. The functional is GGA-PBE.

```
data_Pr5HoCu6
_cell_length_a 8.8107
_cell_length_b 8.8107
_cell_length_c 5.0923
_cell_angle_alpha 106.67
_cell_angle_beta 106.67
_cell_angle_gamma 47.83
_symmetry_space_group_name_H-M 'P 1'
_symmetry_Int_Tables_number 1
loop_
_symmetry_equiv_pos_as_xyz
'x,y,z'
loop_
_atom_site_label
_atom_site_type_symbol
_atom_site_fract_x
_atom_site_fract_y
_atom_site_fract_z
_atom_site_occupancy
Pr1 Pr 0.0000 0.0000 0.0000 1
Pr2 Pr 0.1654 0.1654 0.6648 1
Pr3 Pr 0.3319 0.3319 0.3334 1
Pr4 Pr 0.6681 0.6681 0.6666 1
Pr5 Pr 0.8346 0.8346 0.3352 1
Ho1 Ho 0.5000 0.5000 0.0000 1
Cu1 Cu 0.1007 0.5786 0.8426 1
Cu2 Cu 0.2723 0.7277 0.5000 1
Cu3 Cu 0.4214 0.8993 0.1574 1
Cu4 Cu 0.5786 0.1007 0.8426 1
Cu5 Cu 0.7277 0.2723 0.5000 1
Cu6 Cu 0.8993 0.4214 0.1574 1
```

Values from the calculation:
* DFT total energy: -4.561 eV/atom
* space group: C2/m (12)


Record 11
This record from Alexandria describes crystalline BaTcRh at its relaxed geometry. The functional is GGA-PBE.

```
data_BaTcRh
_cell_length_a 6.1362
_cell_length_b 4.3266
_cell_length_c 11.6302
_cell_angle_alpha 90.00
_cell_angle_beta 90.00
_cell_angle_gamma 90.00
_symmetry_space_group_name_H-M 'P 1'
_symmetry_Int_Tables_number 1
loop_
_symmetry_equiv_pos_as_xyz
'x,y,z'
loop_
_atom_site_label
_atom_site_type_symbol
_atom_site_fract_x
_atom_site_fract_y
_atom_site_fract_z
_atom_site_occupancy
Ba1 Ba 0.1213 0.2500 0.1366 1
Ba2 Ba 0.3787 0.7500 0.6366 1
Ba3 Ba 0.6213 0.2500 0.3634 1
Ba4 Ba 0.8787 0.7500 0.8634 1
Tc1 Tc 0.1131 0.7500 0.3542 1
Tc2 Tc 0.3869 0.2500 0.8542 1
Tc3 Tc 0.6131 0.7500 0.1458 1
Tc4 Tc 0.8869 0.2500 0.6458 1
Rh1 Rh 0.1157 0.2500 0.4461 1
Rh2 Rh 0.3843 0.7500 0.9461 1
Rh3 Rh 0.6157 0.2500 0.0539 1
Rh4 Rh 0.8843 0.7500 0.5539 1
```

Values from the calculation:
* DFT total energy: -6.052 eV/atom
* space group: Pnma (62)


Record 12
This record from Alexandria describes crystalline AlAsCl2 at its relaxed geometry. The functional is GGA-PBE.

```
data_AlAsCl2
_cell_length_a 4.3487
_cell_length_b 4.3487
_cell_length_c 4.2688
_cell_angle_alpha 90.00
_cell_angle_beta 90.00
_cell_angle_gamma 90.00
_symmetry_space_group_name_H-M 'P 1'
_symmetry_Int_Tables_number 1
loop_
_symmetry_equiv_pos_as_xyz
'x,y,z'
loop_
_atom_site_label
_atom_site_type_symbol
_atom_site_fract_x
_atom_site_fract_y
_atom_site_fract_z
_atom_site_occupancy
Al1 Al 0.0000 0.0000 0.0000 1
As1 As 0.5000 0.5000 0.0000 1
Cl1 Cl 0.0000 0.5000 0.5000 1
Cl2 Cl 0.5000 0.0000 0.5000 1
```

Values from the calculation:
* formation energy from raw total energies: 0.187 eV/atom
* space group: P4/mmm (123)


Record 13
This record from Alexandria describes crystalline AcCeO at its relaxed geometry. The functional is GGA-PBE.

```
data_AcCeO
_cell_length_a 3.8991
_cell_length_b 3.8991
_cell_length_c 14.0459
_cell_angle_alpha 90.00
_cell_angle_beta 90.00
_cell_angle_gamma 120.00
_symmetry_space_group_name_H-M 'P 1'
_symmetry_Int_Tables_number 1
loop_
_symmetry_equiv_pos_as_xyz
'x,y,z'
loop_
_atom_site_label
_atom_site_type_symbol
_atom_site_fract_x
_atom_site_fract_y
_atom_site_fract_z
_atom_site_occupancy
Ac1 Ac 0.0000 0.0000 0.0000 1
Ac2 Ac 0.0000 0.0000 0.5000 1
Ce1 Ce 0.3333 0.6667 0.2500 1
Ce2 Ce 0.6667 0.3333 0.7500 1
O1 O 0.3333 0.6667 0.7500 1
O2 O 0.6667 0.3333 0.2500 1
```

Values from the calculation:
* formation energy from raw total energies: -1.519 eV/atom
* space group: P6_3/mmc (194)